1.
Material: Ag2SnAu2
Method: DFT, PBEsol
State: optimized geometry

Cell lengths 7.348, 7.348, 7.348 Å; angles 149.90, 149.90, 43.09 degrees
Fractional positions:
Ag (0.099, 0.099, 0.000)
Ag (0.901, 0.901, 0.000)
Sn (0.500, 0.500, 0.000)
Au (0.250, 0.750, 0.500)
Au (0.750, 0.250, 0.500)

Calculated values
crystal system = tetragonal
energy relative to the elements = 0.105 eV/atom
raw total energy = -3.641 eV per atom



2.
Material: YBe2Os
Method: DFT, PBEsol
State: optimized geometry

Cell lengths 8.412, 8.412, 8.412 Å; angles 151.54, 151.54, 40.69 degrees
Fractional positions:
Y (0.375, 0.625, 0.750)
Y (0.625, 0.375, 0.250)
Be (0.000, 0.000, 0.000)
Be (0.000, 0.000, 0.500)
Be (0.000, 0.500, 0.000)
Be (0.500, 0.000, 0.500)
Os (0.125, 0.875, 0.250)
Os (0.875, 0.125, 0.750)

Calculated values
crystal system = tetragonal
energy relative to the elements = 0.162 eV/atom
raw total energy = -6.598 eV per atom



Which formula does entry 1 have?
Ag2SnAu2